No. 1
This record from Alexandria via LeMat-Bulk describes crystalline TmBeCuC at its relaxed geometry. The functional is PBE-GGA.

For the formation energy, the calculation gives -189 meV/atom. The volume comes out at 13.29 Å³ per atom.

The structure belongs to space group P4/nmm (No. 129, origin choice 2); the cell edges are 3.570, 3.570 and 8.345 Å and the angles 90.00°, 90.00° and 90.00°. The asymmetric unit holds Tm at (0.250, 0.250, 0.147), Be at (0.250, 0.250, 0.665), Cu at (0.250, 0.750, 0.500) and C at (0.250, 0.250, 0.860).

---

No. 2
This record from Alexandria via LeMat-Bulk describes crystalline BeCu2WC at its relaxed geometry. The functional is PBE-GGA.

For the formation energy, the calculation gives 1572 meV/atom. The volume comes out at 12.16 Å³ per atom.

The structure belongs to space group P4/mmm (No. 123); the cell edges are 3.683, 3.683 and 4.483 Å and the angles 90.00°, 90.00° and 90.00°. The asymmetric unit holds Be at (0.000, 0.000, 0.000), Cu at (0.000, 0.500, 0.000), W at (0.000, 0.000, 0.500) and C at (0.500, 0.500, 0.500).

---

No. 3
This record from Alexandria via LeMat-Bulk describes crystalline Zr2BeCuC at its relaxed geometry. The functional is PBE-GGA.

For the formation energy, the calculation gives -276 meV/atom. The volume comes out at 14.55 Å³ per atom.

The structure belongs to space group P4/mmm (No. 123); the cell edges are 4.633, 4.633 and 3.391 Å and the angles 90.00°, 90.00° and 90.00°. The asymmetric unit holds Zr at (0.000, 0.500, 0.000), Be at (0.000, 0.000, 0.500), Cu at (0.500, 0.500, 0.500) and C at (0.000, 0.000, 0.000).

---

No. 4
This record from Alexandria via LeMat-Bulk describes crystalline Dy2BeC at its relaxed geometry. The functional is PBE-GGA.

For the formation energy, the calculation gives 430 meV/atom. The volume comes out at 23.01 Å³ per atom.

The structure belongs to space group R-3m (No. 166, hexagonal axes); the cell edges are 3.5059, 3.5059 and 25.9389 Å and the angles 90.00°, 90.00° and 120.00°. The asymmetric unit holds Dy at (0.0000, 0.0000, 0.1150), Be at (0.0000, 0.0000, 0.0000) and C at (0.0000, 0.0000, 0.5000).

---

No. 5
This record from Alexandria via LeMat-Bulk describes crystalline Dy2ErBeC2 at its relaxed geometry. The functional is PBE-GGA.

For the formation energy, the calculation gives -159 meV/atom. The volume comes out at 17.68 Å³ per atom.

The structure belongs to space group Pnnm (No. 58); the cell edges are 5.401, 10.899 and 3.604 Å and the angles 90.00°, 90.00° and 90.00°. The asymmetric unit holds Dy at (0.002, 0.206, 0.000), Er at (0.000, 0.500, 0.500), Be at (0.000, 0.000, 0.500) and C at (0.236, 0.107, 0.500).

---

No. 6
This record from Alexandria via LeMat-Bulk describes crystalline Dy2BeGeC at its relaxed geometry. The functional is PBE-GGA.

For the formation energy, the calculation gives -583 meV/atom. The volume comes out at 18.04 Å³ per atom.

The structure belongs to space group P2_1/m (No. 11); the cell edges are 6.356, 3.739 and 7.978 Å and the angles 90.00°, 107.95° and 90.00°. The asymmetric unit holds Dy at (0.200, 0.250, 0.386), Dy at (0.215, 0.250, 0.966), Be at (0.453, 0.750, 0.246), Ge at (0.325, 0.750, 0.701) and C at (0.175, 0.750, 0.174).

---

No. 7
This record from Alexandria via LeMat-Bulk describes crystalline DyBeRhC at its relaxed geometry. The functional is PBE-GGA.

For the formation energy, the calculation gives -236 meV/atom. The volume comes out at 14.28 Å³ per atom.

The structure belongs to space group P4/nmm (No. 129, origin choice 2); the cell edges are 3.669, 3.669 and 8.486 Å and the angles 90.00°, 90.00° and 90.00°. The asymmetric unit holds Dy at (0.250, 0.250, 0.153), Be at (0.250, 0.250, 0.672), Rh at (0.250, 0.750, 0.500) and C at (0.250, 0.250, 0.870).

---

No. 8
This record from Alexandria via LeMat-Bulk describes crystalline DyBeRu2C at its relaxed geometry. The functional is PBE-GGA.

For the formation energy, the calculation gives -351 meV/atom. The volume comes out at 14.18 Å³ per atom.

The structure belongs to space group Cmcm (No. 63); the cell edges are 3.781, 10.666 and 7.035 Å and the angles 90.00°, 90.00° and 90.00°. The asymmetric unit holds Dy at (0.000, 0.044, 0.250), Be at (0.000, 0.229, 0.750), Ru at (0.000, 0.327, 0.057) and C at (0.000, 0.500, 0.000).

---

No. 9
This record from Alexandria via LeMat-Bulk describes crystalline Dy2BeSiC at its relaxed geometry. The functional is PBE-GGA.

The formation energy without anion corrections is -0.533 eV per atom. The volume comes out at 17.73 Å³ per atom.

The structure belongs to space group P2_1/m (No. 11); the cell edges are 6.316, 3.728 and 7.909 Å and the angles 90.00°, 107.76° and 90.00°. The asymmetric unit holds Dy at (0.201, 0.250, 0.389), Dy at (0.217, 0.250, 0.965), Be at (0.456, 0.750, 0.247), Si at (0.331, 0.750, 0.702) and C at (0.175, 0.750, 0.174).

---

No. 10
This record from Alexandria via LeMat-Bulk describes crystalline TbDy2BeC2 at its relaxed geometry. The functional is PBE-GGA.

For the formation energy, the calculation gives -156 meV/atom. The volume comes out at 17.98 Å³ per atom.

The structure belongs to space group Pnnm (No. 58); the cell edges are 5.418, 10.946 and 3.637 Å and the angles 90.00°, 90.00° and 90.00°. The asymmetric unit holds Tb at (0.000, 0.000, 0.000), Dy at (0.005, 0.295, 0.500), Be at (0.000, 0.500, 0.000) and C at (0.230, 0.609, 0.000).

---

No. 11
This record from Alexandria via LeMat-Bulk describes crystalline DyTh2BeC2 at its relaxed geometry. The functional is PBE-GGA.

For the formation energy, the calculation gives -141 meV/atom. The volume comes out at 19.22 Å³ per atom.

The structure belongs to space group Pnnm (No. 58); the cell edges are 5.543, 11.282 and 3.689 Å and the angles 90.00°, 90.00° and 90.00°. The asymmetric unit holds Dy at (0.000, 0.000, 0.000), Th at (0.005, 0.290, 0.500), Be at (0.000, 0.500, 0.000) and C at (0.232, 0.397, 0.000).

---

No. 12
This record from Alexandria via LeMat-Bulk describes crystalline Er3BeC at its relaxed geometry. The functional is PBE-GGA.

For the formation energy, the calculation gives -11 meV/atom. The volume comes out at 21.99 Å³ per atom.

The structure belongs to space group Pm-3m (No. 221); the cell edges are 4.791, 4.791 and 4.791 Å and the angles 90.00°, 90.00° and 90.00°. The asymmetric unit holds Er at (0.000, 0.000, 0.500), Be at (0.500, 0.500, 0.500) and C at (0.000, 0.000, 0.000).

---

Density of states at the Fermi level readings, ordered: 0.25 0.57 0.84 0.66 0.58 0.27 0.70 0.51 0.23 0.54 0.74 1.10 states/eV per atom